TiInAgAu: relaxed, GGA-PBE.

extended XYZ file:
```
4
Lattice="4.7031 0.0000 0.0000 2.3515 4.0730 0.0000 2.3515 1.3577 3.8401" Properties=species:S:1:pos:R:3 pbc="T T T"
Au 0.0000 0.0000 0.0000
In 7.0546 4.0730 2.8800
Ti 2.3515 1.3577 0.9600
Ag 4.7031 2.7153 1.9200
```

Space-group type ... F-43m


CeMoN3: relaxed, GGA-PBE.

extended XYZ file:
```
20
Lattice="6.0596 -0.1082 1.5340 1.6963 6.9886 0.7337 -0.0724 0.0127 7.2284" Properties=species:S:1:pos:R:3 pbc="T T T"
N 4.8878 4.3155 2.3029
N 6.6385 2.5515 4.2146
N 6.7211 6.0559 4.6715
N 4.1563 4.6093 5.7490
N 3.5271 2.2838 3.7472
N 3.8123 6.9529 2.8752
N 2.7956 2.5775 7.1933
N 3.8712 -0.0598 6.6209
N 0.9624 0.8371 4.8247
N 5.4654 1.4692 8.6973
N 1.0450 4.3416 5.2815
N 2.2181 5.4239 0.7988
Ce 1.6060 0.6304 7.0116
Ce 2.6534 4.7617 3.1652
Ce 6.0775 6.2627 2.4845
Ce 5.0300 2.1313 6.3309
Mo 1.8552 1.3868 3.3286
Mo 5.2111 2.6189 2.8982
Mo 5.8283 5.5063 6.1675
Mo 2.4724 4.2742 6.5980
```

Raw formation energy ... -20.31 kcal/mol of atoms
Space-group type ... C2/c


Sc3C: relaxed, GGA-PBE.

extended XYZ file:
```
8
Lattice="-7.4091 4.0730 7.1782 -6.4540 8.1272 3.9121 4.9630 -6.9052 -7.1202" Properties=species:S:1:pos:R:3 pbc="T T T"
Sc -4.2113 3.6611 1.1686
Sc -12.2690 10.7973 9.8151
Sc -1.5941 1.4029 1.2752
Sc -1.2230 -1.4161 0.0290
Sc -4.6888 1.6339 2.8016
Sc -0.7455 0.6110 -1.6040
C -5.9405 5.2279 4.7524
C -7.9226 6.9722 6.3380
```

Energy relative to the lowest polymorph listed for this composition ... 0.731 eV/atom
Space-group type ... I4/mmm


PmGa2Pt3: relaxed, GGA-PBE.

extended XYZ file:
```
12
Lattice="5.4893 0.0000 0.0000 0.0000 6.4013 0.8869 0.0000 0.2697 6.4568" Properties=species:S:1:pos:R:3 pbc="T T T"
Pm 4.1170 2.2655 4.6439
Pm 1.3723 4.4055 2.6999
Ga 2.7447 5.2087 5.7340
Ga 0.0000 1.4622 1.6097
Ga 2.7447 1.4622 1.6097
Ga 0.0000 5.2087 5.7340
Pt 1.3723 0.4603 6.2836
Pt 4.1170 6.2106 1.0601
Pt 4.1170 5.6403 3.7118
Pt 1.3723 3.1545 5.9699
Pt 1.3723 1.0307 3.6319
Pt 4.1170 3.5165 1.3738
```

Energy relative to the lowest polymorph listed for this composition ... 0.066 eV/atom
Space-group type ... Cmcm


SrH3Pd3: relaxed, GGA-PBE.

extended XYZ file:
```
14
Lattice="-1.6758 -0.3028 5.3237 -4.7458 -2.4597 -1.6338 2.4313 -5.0100 0.4804" Properties=species:S:1:pos:R:3 pbc="T T T"
H -2.0244 -0.7663 2.2534
H -0.5494 -4.9874 -0.4566
H -4.3973 -1.9962 1.4365
H -1.7651 -2.4824 -0.6968
H -0.0412 -2.7321 4.2330
H 0.7967 -2.5807 1.5711
Pd 0.0292 -3.1199 -0.1683
Pd -2.3437 -4.3498 -0.9852
Pd -0.2301 -1.4039 2.7819
Pd -3.6298 -1.4570 3.1759
Pd -2.7919 -1.3056 0.5140
Pd 0.9856 -3.9089 3.0221
Sr -1.9952 -3.8863 2.0851
Sr 0.0000 0.0000 0.0000
```

Energy relative to the lowest polymorph listed for this composition ... 0.000 eV/atom
Space-group type ... Pm-3n


Y6Ga3Co: relaxed, GGA-PBE.

extended XYZ file:
```
20
Lattice="6.0520 0.0000 0.1060 0.0000 8.3504 0.0000 0.1700 0.0000 10.2423" Properties=species:S:1:pos:R:3 pbc="T T T"
Y 5.3934 5.5543 5.8596
Y 0.6646 2.5909 0.6738
Y 0.9182 0.3797 7.8485
Y 2.2824 6.9713 0.6854
Y 3.9396 1.3791 9.6628
Y 2.3629 4.5549 7.5679
Y 2.4465 6.7661 4.5003
Y 5.3039 7.9708 2.4998
Y 3.7756 1.5843 5.8479
Y 5.5575 5.7595 9.6744
Y 0.8286 2.7961 4.4887
Y 3.8592 3.7955 2.7803
Ga 3.0260 4.1752 0.0530
Ga 3.7229 7.4003 7.6509
Ga 2.4992 0.9501 2.6973
Ga 5.6102 3.2251 7.8715
Ga 0.6119 5.1253 2.4768
Ga 0.0850 0.0000 5.1211
Co 0.0000 0.0000 0.0000
Co 3.1110 4.1752 5.1741
```

Space-group type ... P2_1/c


BaLiAlF6: relaxed, GGA-PBE.

extended XYZ file:
```
36
Lattice="10.4436 0.0000 0.0000 0.0000 5.3891 0.0058 0.0000 0.0614 8.6460" Properties=species:S:1:pos:R:3 pbc="T T T"
Ba 7.1261 1.6575 8.5679
Ba 3.3175 3.7930 0.0839
Ba 8.5394 1.6268 4.2449
Ba 1.9043 3.8237 4.4069
F 7.8194 3.2687 2.0469
F 1.7429 5.0901 1.7501
F 2.6242 2.1817 6.6049
F 4.5156 4.8624 2.5231
F 3.4789 5.1208 6.0731
F 1.0971 1.8052 0.3001
F 0.7062 4.8931 6.8461
F 5.9280 0.5881 6.1287
F 10.3369 2.5838 6.1314
F 4.2646 0.9829 8.1587
F 9.4864 4.4983 4.8160
F 8.7008 0.3604 6.9017
F 5.1151 2.8973 6.8434
F 6.9647 0.3297 2.5787
F 5.3286 2.5532 1.8084
F 2.5976 2.1510 2.2819
F 0.9572 0.9522 3.8357
F 6.1790 4.4676 0.4930
F 6.3189 3.6145 4.0287
F 0.1068 2.8666 2.5204
F 9.3465 3.6452 8.3517
F 4.1247 1.8359 4.6231
F 9.7374 0.5574 1.8057
F 7.8460 3.2994 6.3699
Al 6.1804 4.1203 2.3089
Al 4.2633 1.3302 6.3429
Al 0.9585 1.2995 2.0199
Al 9.4851 4.1510 6.6319
Li 6.1417 4.1087 5.8244
Li 4.3019 1.3418 2.8274
Li 0.9199 1.3725 7.1504
Li 9.5237 4.0780 1.5014
```

Raw formation energy ... -82.54 kcal/mol of atoms
Energy relative to the lowest polymorph listed for this composition ... 0.000 eV/atom
Space-group type ... P2_1/c


Zr2MnGa2Ru5: relaxed, GGA-PBE.

extended XYZ file:
```
20
Lattice="-0.9229 2.9253 1.1951 -9.3934 -2.4447 -1.2700 -0.2410 -3.7661 9.0324" Properties=species:S:1:pos:R:3 pbc="T T T"
Ga -6.1553 -4.8126 7.0268
Ga -3.4791 -1.3981 0.7356
Ga -1.4022 -2.7093 5.5489
Ga -8.2322 -3.5015 2.2135
Ru -5.7738 -2.5022 6.2002
Ru -5.1582 0.2403 -0.0374
Ru -4.7836 -0.7832 2.7573
Ru -9.4548 -1.6085 1.1700
Ru -3.4370 -1.3399 5.1597
Ru -1.1025 -1.6769 7.7875
Ru -8.2312 -4.0864 8.1801
Ru -2.3261 0.8009 0.7774
Ru -7.1204 -1.9456 3.7978
Ru -0.5820 -0.4204 5.1137
Zr -6.3266 -2.2731 0.6782
Zr -1.6689 -1.6595 2.7733
Zr -7.9655 -4.5513 4.9891
Zr -3.3078 -3.9377 7.0842
Mn -4.8172 -3.1054 3.8812
Mn 0.0000 0.0000 0.0000
```

Space-group type ... P4/mbm


Calculated total energy in eV/atom, matching the order above: -4.3395 -9.2288 -6.5910 -5.6674 -4.2478 -5.8301 -5.6690 -8.1234